# 1
Entry from the Alexandria database: a relaxed structure of SrFeP2 (PBE).

abc: 4.032 3.762 6.019
angles: 71.79 90.00 90.00
Fractional positions:
P  0.000  0.875  0.874
Sr  0.000  0.587  0.451
P  0.500  0.220  0.185
Fe  0.500  0.817  0.991

Values from the calculation:
Its magnetic moment is 0.0 Bohr magnetons per cell. The value obtained for the total energy is -5.6869 eV per atom. The calculation puts the formation energy at -0.45 eV/atom. The energy above the most stable polymorph in this dataset comes out at 0.607 eV per formula unit.



# 2
Entry from the Alexandria database: a relaxed structure of Sr2FeP (PBE).

abc: 3.461 3.461 8.778
angles: 90.00 90.00 90.00
Each line ends with the local moment (μB).
Fractional positions:
Fe  0.000  0.000  0.592  2.35
Sr  0.000  0.000  0.915  -0.01
P  0.500  0.500  0.666  0.00
Sr  0.500  0.500  0.327  -0.04

Values from the calculation:
Its magnetic moment is 2.2 Bohr magnetons per cell. The value obtained for the total energy is -4.2940 eV per atom. The calculation puts the formation energy at 0.02 eV/atom.



# 3
Entry from the Alexandria database: a relaxed structure of Sr3FeP (PBE).

abc: 5.845 5.845 5.845
angles: 90.00 90.00 90.00
Each line ends with the local moment (μB).
Fractional positions:
Sr  0.500  0.000  0.000  -0.02
Sr  0.000  0.500  0.000  -0.01
Sr  0.000  0.000  0.500  -0.01
Fe  0.500  0.500  0.500  3.15
P  0.000  0.000  0.000  0.01

Values from the calculation:
Its magnetic moment is 3.1 Bohr magnetons per cell. The value obtained for the total energy is -3.7150 eV per atom. The calculation puts the formation energy at 0.07 eV/atom. The energy above the most stable polymorph in this dataset comes out at 0.000 eV per formula unit.



# 4
Entry from the Alexandria database: a relaxed structure of SrFe2P (PBE).

abc: 4.536 4.536 8.293
angles: 74.13 74.13 90.00
Fractional positions:
Fe  0.875  0.625  0.750
Sr  0.750  0.250  0.500
P  0.250  0.750  0.500
Fe  0.375  0.625  0.250
Fe  0.375  0.125  0.250
Sr  0.000  0.000  0.000
Fe  0.375  0.625  0.750
P  0.500  0.500  0.000

Values from the calculation:
Its magnetic moment is 0.0 Bohr magnetons per cell. The value obtained for the total energy is -5.9314 eV per atom. The calculation puts the formation energy at 0.07 eV/atom.